First-principles (PBE) data for a relaxed Rb4YBi3O12 crystal, as listed in the Alexandria database.

Summary:
The spin magnetization is 1.95 μB per formula unit. The crystal system is cubic. The value obtained for the uncorrected formation energy is -1.282 eV per atom.

a b c (Å): 8.7111 8.7111 8.7111
angles (deg): 90.00 90.00 90.00
Space group Im-3m (No. 229)
Unique sites:
1 Rb 0.2500 0.2500 0.2500 (multiplicity 8)
2 Y 0.0000 0.0000 0.0000 (multiplicity 2)
3 Bi 0.0000 0.0000 0.5000 (multiplicity 6)
4 O 0.0000 0.0000 0.2603 (multiplicity 12)
5 O 0.0000 0.2500 0.5000 (multiplicity 12)

=====

First-principles (PBE) data for a relaxed Pm3Ge2Au5 crystal, as listed in the Alexandria database.

Summary:
As for the formation energy from the elements: -0.5139 eV per atom. The spin magnetization is 0.00 μB per formula unit. The crystal system is orthorhombic.

a b c (Å): 10.4378 14.6982 6.1796
angles (deg): 90.00 90.00 90.00
Space group Ibam (No. 72)
Unique sites:
1 Pm 0.0000 0.0000 0.2500 (multiplicity 4)
2 Pm 0.2078 0.3387 0.0000 (multiplicity 8)
3 Ge 0.1714 0.1210 0.0000 (multiplicity 8)
4 Au 0.0000 0.2073 0.2500 (multiplicity 8)
5 Au 0.0000 0.5000 0.2500 (multiplicity 4)
6 Au 0.0920 0.3535 0.5000 (multiplicity 8)